Record 1
VASP calculation (GGA-PBE) on LiNb2V after structural relaxation.

Values from the calculation:
Offset from the most stable computed form, eV per atom: 0.090
Space group: R-3m, No. 166
DFT formation energy, eV/f.u.: 1.5

Cell lengths 10.671, 10.671, 10.671 Å; angles 14.92, 14.92, 14.92 degrees
Fractional positions:
Li: 0.000 0.000 0.000
Nb: 0.089 0.089 0.089
Nb: 0.911 0.911 0.911
V: 0.500 0.500 0.500


Record 2
VASP calculation (GGA-PBE) on Li3NbV after structural relaxation.

Values from the calculation:
Offset from the most stable computed form, eV per atom: 0.000
Space group: Pm-3m, No. 221
DFT formation energy, eV/f.u.: 6.6

Cell lengths 4.469, 4.469, 4.469 Å; angles 90.00, 90.00, 90.00 degrees
Fractional positions:
Li: 0.000 0.000 0.500
Li: 0.000 0.500 0.000
Li: 0.500 0.000 0.000
Nb: 0.500 0.500 0.500
V: 0.000 0.000 0.000


Record 3
VASP calculation (GGA-PBE) on LiZr2NbV after structural relaxation.

Values from the calculation:
Space group: P4/mmm, No. 123
DFT formation energy, eV/f.u.: 4.0

Cell lengths 5.007, 5.007, 4.619 Å; angles 90.00, 90.00, 90.00 degrees
Fractional positions:
Li: 0.000 0.000 0.000
Zr: 0.000 0.500 0.500
Zr: 0.500 0.000 0.500
Nb: 0.500 0.500 0.000
V: 0.500 0.500 0.500


Record 4
VASP calculation (GGA-PBE) on Li2NbW2 after structural relaxation.

Values from the calculation:
Offset from the most stable computed form, eV per atom: 0.011
Space group: I4/mmm, No. 139
DFT formation energy, eV/f.u.: 3.8

Cell lengths 5.914, 5.914, 5.914 Å; angles 143.11, 143.11, 53.16 degrees
Fractional positions:
Li: 0.087 0.087 0.000
Li: 0.913 0.913 0.000
Nb: 0.500 0.500 0.000
W: 0.250 0.750 0.500
W: 0.750 0.250 0.500


Record 5
VASP calculation (GGA-PBE) on LiNb3W after structural relaxation.

Values from the calculation:
Offset from the most stable computed form, eV per atom: 0.000
Space group: Pm-3m, No. 221
DFT formation energy, eV/f.u.: 6.1

Cell lengths 4.398, 4.398, 4.398 Å; angles 90.00, 90.00, 90.00 degrees
Fractional positions:
Li: 0.000 0.000 0.000
Nb: 0.000 0.000 0.500
Nb: 0.000 0.500 0.000
Nb: 0.500 0.000 0.000
W: 0.500 0.500 0.500


Record 6
VASP calculation (GGA-PBE) on LiNb3W after structural relaxation.

Values from the calculation:
Offset from the most stable computed form, eV per atom: 0.092
Space group: Pm-3m, No. 221
DFT formation energy, eV/f.u.: 6.5

Cell lengths 4.929, 4.929, 4.929 Å; angles 90.00, 90.00, 90.00 degrees
Fractional positions:
Li: 0.000 0.000 0.000
Nb: 0.000 0.500 0.500
Nb: 0.500 0.000 0.500
Nb: 0.500 0.500 0.000
W: 0.500 0.500 0.500